Tb4CeDy15 | PBE | relaxed

Summary:
V: 630.6 Å³/cell
E: -92.9 eV/cell
DOS(E_F): 28.0 states/eV/f.u.
symmetry: P4/mmm (123)
ΔE_f: 27.5 meV per atom

Unit cell a=5.018 b=5.018 c=25.047 alpha=90.00 beta=90.00 gamma=90.00
Fractional positions:
1 Tb 0.000 0.000 0.100
2 Tb 0.000 0.000 0.301
3 Tb 0.000 0.000 0.699
4 Tb 0.000 0.000 0.900
5 Ce 0.000 0.000 0.500
6 Dy 0.000 0.500 0.000
7 Dy 0.000 0.500 0.201
8 Dy 0.000 0.500 0.401
9 Dy 0.000 0.500 0.599
10 Dy 0.000 0.500 0.799
11 Dy 0.500 0.000 0.000
12 Dy 0.500 0.000 0.201
13 Dy 0.500 0.000 0.401
14 Dy 0.500 0.000 0.599
15 Dy 0.500 0.000 0.799
16 Dy 0.500 0.500 0.100
17 Dy 0.500 0.500 0.300
18 Dy 0.500 0.500 0.500
19 Dy 0.500 0.500 0.700
20 Dy 0.500 0.500 0.900